Here is RbMnNbTc2 after structural relaxation from the Alexandria database. Energies are from PBE.

Its volume is 97.1 Å³ per cell. The calculation puts the density of states at the Fermi level at 5.55 states/eV per cell. The formation enthalpy at 0 K comes out at 2.8879 eV per atom. For the uncorrected energy, the calculation gives -5.300 eV/atom. Its calculated density is 7.34 g/cm³.

The structure belongs to space group P4/mmm (No. 123); the cell edges are 4.680, 4.680 and 4.433 Å and the angles 90.00°, 90.00° and 90.00°. The asymmetric unit holds Rb at (0.000, 0.000, 0.000), Mn at (0.000, 0.000, 0.500), Nb at (0.500, 0.500, 0.500) and Tc at (0.000, 0.500, 0.000).